No. 1
Compound: Tc2SnAs2
Source: the Alexandria database
Functional: PBE-GGA
Structure: relaxed

Summary:
The volume is 17.28 Å³/atom. As for the formation enthalpy at 0 K: 0.244 eV/atom. Its uncorrected energy is -65.63 eV/cell.

The structure in CIF format:
```
data_Tc2SnAs2
_symmetry_space_group_name_H-M 'P 4/m b m'
_symmetry_Int_Tables_number 127
_symmetry_space_group_name_Hall '-P 4 2ab'
_cell_length_a 7.584
_cell_length_b 7.584
_cell_length_c 3.004
_cell_angle_alpha 90.00
_cell_angle_beta 90.00
_cell_angle_gamma 90.00
loop_
_atom_site_label
_atom_site_type_symbol
_atom_site_fract_x
_atom_site_fract_y
_atom_site_fract_z
Tc1 Tc 0.146 0.354 0.000
Sn1 Sn 0.000 0.000 0.500
As1 As 0.137 0.637 0.500
```

No. 2
Compound: TcSnAs2
Source: the Alexandria database
Functional: PBE-GGA
Structure: relaxed

Summary:
The volume is 19.47 Å³/atom. As for the formation enthalpy at 0 K: -0.053 eV/atom. Its uncorrected energy is -23.88 eV/cell.

The structure in CIF format:
```
data_TcSnAs2
_symmetry_space_group_name_H-M 'P 4/m m m'
_symmetry_Int_Tables_number 123
_symmetry_space_group_name_Hall '-P 4 2'
_cell_length_a 3.103
_cell_length_b 3.103
_cell_length_c 8.092
_cell_angle_alpha 90.00
_cell_angle_beta 90.00
_cell_angle_gamma 90.00
loop_
_atom_site_label
_atom_site_type_symbol
_atom_site_fract_x
_atom_site_fract_y
_atom_site_fract_z
Tc1 Tc 0.000 0.000 0.000
Sn1 Sn 0.000 0.000 0.500
As1 As 0.500 0.500 0.183
```

No. 3
Compound: TcSnAs2
Source: the Alexandria database
Functional: PBE-GGA
Structure: relaxed

Summary:
The volume is 20.32 Å³/atom. As for the formation enthalpy at 0 K: 0.602 eV/atom. Its uncorrected energy is -63.78 eV/cell.

The structure in CIF format:
```
data_TcSnAs2
_symmetry_space_group_name_H-M 'R -3 m'
_symmetry_Int_Tables_number 166
_symmetry_space_group_name_Hall '-R 3 2"'
_cell_length_a 2.9758
_cell_length_b 2.9758
_cell_length_c 31.7923
_cell_angle_alpha 90.00
_cell_angle_beta 90.00
_cell_angle_gamma 120.00
loop_
_atom_site_label
_atom_site_type_symbol
_atom_site_fract_x
_atom_site_fract_y
_atom_site_fract_z
Tc1 Tc 0.0000 0.0000 0.0000
Sn1 Sn 0.0000 0.0000 0.5000
As1 As 0.0000 0.0000 0.0776
```

Which value of uncorrected energy does entry 3 give?
-63.78 eV/cell